Record 1
First-principles (PBE) data for an optimized crystal structure of Y4HoGe4, as listed in the Alexandria database.

Calculated values
For the energy of formation from the pure elements, the calculation gives -611 meV per atom. As for the space-group type: P4_2/n, No. 86.

Geometry as POSCAR:
```
Y4HoGe4
1.0
5.833 0.000 0.000
0.000 9.103 0.000
0.000 0.000 9.103
Y Ge Ho
8 8 2
direct
0.385 0.675 0.091 Y
0.615 0.909 0.675 Y
0.615 0.091 0.325 Y
0.385 0.325 0.909 Y
0.885 0.591 0.825 Y
0.115 0.825 0.409 Y
0.885 0.409 0.175 Y
0.115 0.175 0.591 Y
0.117 0.870 0.727 Ge
0.383 0.370 0.227 Ge
0.383 0.630 0.773 Ge
0.883 0.727 0.130 Ge
0.883 0.273 0.870 Ge
0.617 0.227 0.630 Ge
0.617 0.773 0.370 Ge
0.117 0.130 0.273 Ge
0.000 0.000 0.000 Ho
0.500 0.500 0.500 Ho
```


Record 2
First-principles (PBE) data for an optimized crystal structure of CaCoS2Cl, as listed in the Alexandria database.

Calculated values
For the uncorrected formation energy, the calculation gives -778.8 meV per atom. As for the space-group type: P4/mmm, No. 123. The polymorph energy (0 for the lowest one) is 0 meV per atom.

Geometry as POSCAR:
```
CaCoS2Cl
1.0
4.508 0.000 0.000
0.000 4.508 0.000
0.000 0.000 4.774
Cl Co Ca S
1 1 1 2
direct
0.000 0.000 0.500 Cl
0.000 0.000 0.000 Co
0.500 0.500 0.500 Ca
0.000 0.500 0.000 S
0.500 0.000 0.000 S
```


Record 3
First-principles (PBE) data for an optimized crystal structure of Ti2IrPt, as listed in the Alexandria database.

Calculated values
For the energy of formation from the pure elements, the calculation gives -881 meV per atom. As for the space-group type: P4/mmm, No. 123.

Geometry as POSCAR:
```
Ti2IrPt
1.0
-1.052 -1.895 -1.906
2.588 -0.165 -1.265
1.847 -5.557 4.506
Pt Ir Ti
1 1 2
direct
0.500 0.500 0.000 Pt
0.500 0.500 0.500 Ir
0.000 0.000 0.261 Ti
0.000 0.000 0.739 Ti
```


Record 4
First-principles (PBE) data for an optimized crystal structure of PrHo2TmSe4, as listed in the Alexandria database.

Calculated values
For the uncorrected formation energy, the calculation gives -1726.5 meV per atom. As for the space-group type: P2/m, No. 10.

Geometry as POSCAR:
```
PrHo2TmSe4
1.0
4.033 0.000 0.000
0.000 7.052 -0.161
0.000 2.466 6.808
Pr Ho Se Tm
1 2 4 1
direct
0.500 0.500 0.000 Pr
0.000 0.000 0.000 Ho
0.500 0.000 0.500 Ho
0.000 0.761 0.736 Se
0.500 0.247 0.741 Se
0.000 0.239 0.264 Se
0.500 0.753 0.259 Se
0.000 0.500 0.500 Tm
```


Record 5
First-principles (PBE) data for an optimized crystal structure of YRe2Mo, as listed in the Alexandria database.

Calculated values
For the energy of formation from the pure elements, the calculation gives 767 meV per atom. As for the space-group type: I-42d, No. 122. The polymorph energy (0 for the lowest one) is 588 meV per atom.

Geometry as POSCAR:
```
YRe2Mo
1.0
7.463 0.000 0.000
0.000 7.463 0.000
3.731 3.731 2.787
Re Mo Y
4 2 2
direct
0.084 0.625 0.250 Re
0.375 0.334 0.750 Re
0.875 0.916 0.750 Re
0.666 0.125 0.250 Re
0.750 0.250 0.500 Mo
0.000 0.000 0.000 Mo
0.500 0.500 0.000 Y
0.250 0.750 0.500 Y
```


Record 6
First-principles (PBE) data for an optimized crystal structure of BaMo2Pb, as listed in the Alexandria database.

Calculated values
For the energy of formation from the pure elements, the calculation gives 740 meV per atom. As for the space-group type: Imm2, No. 44.

Geometry as POSCAR:
```
BaMo2Pb
1.0
6.419 -0.024 0.023
3.051 5.647 -0.023
-3.944 -4.144 2.911
Mo Ba Pb
2 1 1
direct
0.945 0.945 0.000 Mo
0.792 0.292 0.500 Mo
0.233 0.733 0.500 Ba
0.530 0.530 0.000 Pb
```


Record 7
First-principles (PBE) data for an optimized crystal structure of LaSc2Ti, as listed in the Alexandria database.

Calculated values
For the energy of formation from the pure elements, the calculation gives 240 meV per atom. As for the space-group type: Fm-3m, No. 225. The polymorph energy (0 for the lowest one) is 81 meV per atom.

Geometry as POSCAR:
```
LaSc2Ti
1.0
0.000 3.675 3.675
3.675 0.000 3.675
3.675 3.675 0.000
Ti Sc La
1 2 1
direct
0.000 0.000 0.000 Ti
0.250 0.250 0.250 Sc
0.750 0.750 0.750 Sc
0.500 0.500 0.500 La
```


Record 8
First-principles (PBE) data for an optimized crystal structure of Co2GeH, as listed in the Alexandria database.

Calculated values
As for the space-group type: Fm-3m, No. 225. The polymorph energy (0 for the lowest one) is 344 meV per atom.

Geometry as POSCAR:
```
Co2GeH
1.0
0.000 2.716 2.716
2.716 0.000 2.716
2.716 2.716 0.000
H Co Ge
1 2 1
direct
0.000 0.000 0.000 H
0.750 0.750 0.750 Co
0.250 0.250 0.250 Co
0.500 0.500 0.500 Ge
```


Record 9
First-principles (PBE) data for an optimized crystal structure of Ba5GeBr4, as listed in the Alexandria database.

Calculated values
For the uncorrected formation energy, the calculation gives -1472.5 meV per atom. As for the space-group type: I4/m, No. 87.

Geometry as POSCAR:
```
Ba5GeBr4
1.0
-6.036 1.910 -2.319
-5.991 -5.650 1.139
-4.639 4.035 5.596
Ba Br Ge
5 4 1
direct
0.099 0.619 0.186 Ba
0.501 0.000 0.000 Ba
0.718 0.186 0.381 Ba
0.285 0.814 0.619 Ba
0.904 0.381 0.814 Ba
0.196 0.207 0.403 Br
0.806 0.793 0.597 Br
0.599 0.597 0.207 Br
0.403 0.403 0.793 Br
0.001 0.000 0.000 Ge
```


Record 10
First-principles (PBE) data for an optimized crystal structure of Ir2RhO6, as listed in the Alexandria database.

Calculated values
For the uncorrected formation energy, the calculation gives -697.3 meV per atom. As for the space-group type: P321, No. 150.

Geometry as POSCAR:
```
Ir2RhO6
1.0
4.290 0.000 0.000
0.000 7.651 -4.417
0.000 0.000 8.835
O Ir Rh
18 6 3
direct
0.246 0.424 0.536 O
0.239 0.121 0.898 O
0.761 0.898 0.121 O
0.239 0.102 0.223 O
0.239 0.777 0.879 O
0.739 0.229 0.785 O
0.754 0.576 0.112 O
0.261 0.771 0.557 O
0.261 0.443 0.215 O
0.754 0.536 0.424 O
0.761 0.879 0.777 O
0.739 0.557 0.771 O
0.246 0.112 0.576 O
0.261 0.785 0.229 O
0.246 0.464 0.888 O
0.761 0.223 0.102 O
0.739 0.215 0.443 O
0.754 0.888 0.464 O
0.500 0.000 0.684 Ir
0.000 0.650 0.650 Ir
0.000 0.350 0.000 Ir
0.500 0.316 0.316 Ir
0.500 0.684 0.000 Ir
0.000 0.000 0.350 Ir
0.503 0.667 0.333 Rh
0.000 0.000 0.000 Rh
0.497 0.333 0.667 Rh
```


N(E_F) for the records above, in order: 9.20, 5.18, 3.81, 4.18, 3.39, 3.75, 5.10, 2.26, 4.17, 7.90 states/eV/f.u.